PBE Ho2Mg3Ag3, optimized geometry; volume = 21.842 A^3/atom; uncorrected energy = -0.112 Ha/atom; DOS(E_F) = 5.92 states/eV per cell
1.0
2.498 1.442 8.086
-2.498 1.442 8.086
0.000 -2.884 8.086
Ho Mg Ag
2 3 3
Cartesian
0.000 0.000 0.000
0.000 0.000 11.855
0.000 0.000 5.841
0.000 0.000 14.991
0.000 0.000 18.114
0.000 0.000 2.975
0.000 0.000 8.782
0.000 0.000 21.199

---

PBE Ho3Mg12Ag, optimized geometry; volume = 23.930 A^3/atom; uncorrected energy = -0.085 Ha/atom; DOS(E_F) = 9.15 states/eV per cell
1.0
4.622 0.000 0.000
0.000 4.622 0.000
0.000 0.000 17.922
Ho Mg Ag
3 12 1
Cartesian
0.000 0.000 0.000
0.000 0.000 4.758
0.000 0.000 13.165
0.000 2.311 2.386
0.000 2.311 7.072
0.000 2.311 10.850
0.000 2.311 15.536
2.311 0.000 2.386
2.311 0.000 7.072
2.311 0.000 10.850
2.311 0.000 15.536
2.311 2.311 0.000
2.311 2.311 4.832
2.311 2.311 8.961
2.311 2.311 13.090
0.000 0.000 8.961

---

PBE HoMg3Ag, optimized geometry; volume = 23.344 A^3/atom; uncorrected energy = -0.095 Ha/atom; DOS(E_F) = 6.37 states/eV per cell; energy relative to the lowest polymorph listed for this composition = 0.000 eV per atom
1.0
4.276 -6.158 0.000
4.276 6.158 0.000
0.000 0.000 4.433
Ho Mg Ag
2 6 2
Cartesian
4.276 3.521 0.000
4.276 -3.521 0.000
0.000 0.000 2.216
2.628 1.636 2.216
2.628 -1.636 2.216
4.276 0.000 0.000
5.923 1.636 2.216
5.923 -1.636 2.216
1.622 0.000 0.000
6.930 0.000 0.000

---

PBE Ho6MgAg, optimized geometry; volume = 28.365 A^3/atom; uncorrected energy = -0.145 Ha/atom; DOS(E_F) = 9.60 states/eV per cell
1.0
4.457 2.573 3.298
-4.457 2.573 3.298
0.000 -5.146 3.298
Ho Mg Ag
6 1 1
Cartesian
-3.246 -0.814 4.392
-0.919 -3.218 5.502
-2.328 2.405 5.502
2.328 -2.405 4.392
0.919 3.218 4.392
3.246 0.814 5.502
0.000 0.000 4.947
0.000 0.000 0.000

---

Number 1: total magnetization 0.0 μB/f.u., formation energy from the elements -0.237 eV per atom. Number 2: total magnetization 0.0 μB/f.u., formation energy from the elements -0.067 eV per atom. Number 3: total magnetization 0.0 μB/f.u., formation energy from the elements -0.144 eV per atom. Number 4: total magnetization 0.0 μB/f.u., formation energy from the elements 0.031 eV per atom.